## one
Entry from Alexandria via LeMat-Bulk: crystalline Mg2AgW at its relaxed geometry (PBE-GGA).

a b c (Å): 2.8129 2.8129 8.9797
angles (deg): 90.00 90.00 96.92
Sites, in units of the cell vectors:
Mg1 0.0000 0.0000 0.2482
Mg2 0.0000 0.0000 0.7518
Ag1 0.5000 0.5000 0.5000
W1 0.5000 0.5000 0.0000

Properties
**Crystal system**: orthorhombic
**Total magnetization**: 0.000 Bohr magnetons per cell

---

## two
Entry from Alexandria via LeMat-Bulk: crystalline Mg2AgW at its relaxed geometry (PBE-GGA).

a b c (Å): 2.8235 2.8235 9.1195
angles (deg): 90.00 90.00 90.00
Sites, in units of the cell vectors:
Mg1 0.0000 0.0000 0.0000
Mg2 0.5000 0.5000 0.2859
Ag1 0.5000 0.5000 0.7637
W1 0.0000 0.0000 0.5230

Properties
**Crystal system**: tetragonal
**Total magnetization**: 0.000 Bohr magnetons per cell

---

Stability ranking, top entry: one; the second entry is 132 meV/atom less favorable.